No. 1
Compound: LiFe5O8
Source: the Alexandria database
Functional: SCAN
Structure: PBEsol geometry

Cell lengths 8.047, 8.047, 8.047 Å; angles 90.00, 90.00, 90.00 degrees
Space group P4_332 (No. 212)
One atom of each set of equivalent atoms:
1 Li 0.125 0.125 0.125
2 Fe 0.006 0.994 0.494
3 Fe 0.120 0.870 0.875
4 O 0.102 0.872 0.111
5 O 0.120 0.380 0.620

Values from the calculation:
For the total magnetization, the calculation gives 52.00 Bohr magnetons per cell. Its energy relative to the elements, uncorrected is -1.70 eV/atom.

=====

No. 2
Compound: SrTaIr4
Source: the Alexandria database
Functional: SCAN
Structure: PBEsol geometry

Cell lengths 7.416, 7.416, 7.416 Å; angles 90.00, 90.00, 90.00 degrees
Space group F-43m (No. 216)
One atom of each set of equivalent atoms:
1 Sr 0.000 0.000 0.000
2 Ta 0.250 0.250 0.250
3 Ir 0.125 0.125 0.625

Values from the calculation:
For the total magnetization, the calculation gives 0.00 Bohr magnetons per cell. The calculated formation energy comes out at -0.12 eV per atom.

=====

No. 3
Compound: SrV4Ag2O12
Source: the Alexandria database
Functional: SCAN
Structure: PBEsol geometry

Cell lengths 10.456, 10.456, 4.929 Å; angles 90.00, 90.00, 90.00 degrees
Space group P4/nbm (No. 125, origin choice 2)
One atom of each set of equivalent atoms:
1 Sr 0.250 0.250 0.000
2 V 0.033 0.750 0.500
3 Ag 0.000 0.000 0.000
4 O 0.053 0.176 0.263
5 O 0.134 0.634 0.660

Values from the calculation:
For the total magnetization, the calculation gives 0.00 Bohr magnetons per cell. Its energy relative to the elements, uncorrected is -2.34 eV/atom.

=====

Number 1: calculated volume 9.31 Å³ per atom, calculated total energy -11.91 eV/atom. Number 2: calculated volume 16.99 Å³ per atom, calculated total energy -62.33 eV/atom. Number 3: calculated volume 14.18 Å³ per atom, calculated total energy -14.43 eV/atom.